The following is a DFT calculation (PBE-GGA) of crystalline Tl2CrN at its relaxed geometry.

Structure (POSCAR):
```
Tl2CrN
1.0
1.690 3.510 2.530
-2.821 2.429 2.778
0.355 -0.421 4.612
Cr Tl N
1 2 1
Cartesian
-0.388 2.759 4.960 Cr
-0.194 1.380 2.480 Tl
-0.583 4.139 7.440 Tl
0.000 0.000 0.000 N
```

Output
offset from the most stable computed form: 333 meV/atom
crystal system: cubic
symmetry: Fm-3m (225)

The following is a DFT calculation (PBE-GGA) of crystalline Tl2CrN at its relaxed geometry.

Structure (POSCAR):
```
Tl2CrN
1.0
6.914 0.000 0.000
0.000 6.914 0.000
3.457 3.457 3.088
Cr Tl N
2 4 2
Cartesian
0.000 0.000 0.000 Cr
6.914 3.457 1.544 Cr
4.849 1.728 0.772 Tl
2.065 5.185 0.772 Tl
5.185 5.521 2.316 Tl
8.642 8.306 2.316 Tl
3.457 3.457 0.000 N
3.457 6.914 1.544 N
```

Output
offset from the most stable computed form: 0 meV/atom
crystal system: tetragonal
symmetry: I-42d (122)

The following is a DFT calculation (PBE-GGA) of crystalline Tl3CrN at its relaxed geometry.

Structure (POSCAR):
```
Tl3CrN
1.0
-4.227 -0.189 -2.355
-0.496 -4.648 1.264
-2.310 1.344 4.038
Cr Tl N
1 3 1
Cartesian
-3.516 -1.746 1.474 Cr
-0.248 -2.324 0.632 Tl
-1.155 0.672 2.019 Tl
-2.114 -0.095 -1.177 Tl
0.000 0.000 0.000 N
```

Output
offset from the most stable computed form: 181 meV/atom
crystal system: cubic
symmetry: Pm-3m (221)

The following is a DFT calculation (PBE-GGA) of crystalline TlCrN2 at its relaxed geometry.

Structure (POSCAR):
```
TlCrN2
1.0
-3.241 -2.283 0.971
-3.754 1.587 -0.220
-2.572 -1.239 -2.918
Cr Tl N
1 1 2
Cartesian
0.000 0.000 0.000 Cr
-4.783 -0.968 -1.083 Tl
-2.392 -0.484 -0.542 N
-7.175 -1.451 -1.625 N
```

Output
offset from the most stable computed form: 1403 meV/atom
crystal system: cubic
symmetry: Fm-3m (225)

The following is a DFT calculation (PBE-GGA) of crystalline TlCrN2 at its relaxed geometry.

Structure (POSCAR):
```
TlCrN2
1.0
3.578 -5.638 2.060
4.953 -3.441 3.530
2.450 -4.628 4.626
Cr Tl N
1 1 2
Cartesian
5.491 -6.853 5.108 Cr
0.000 0.000 0.000 Tl
9.695 -12.100 9.018 N
1.287 -1.606 1.197 N
```

Output
offset from the most stable computed form: 381 meV/atom
crystal system: trigonal
symmetry: R-3m (166)

The following is a DFT calculation (PBE-GGA) of crystalline TlCrN2 at its relaxed geometry.

Structure (POSCAR):
```
TlCrN2
1.0
2.027 0.000 6.101
-1.014 1.756 6.101
-1.014 -1.756 6.101
Cr Tl N
1 1 2
Cartesian
0.000 0.000 0.000 Cr
0.000 0.000 9.152 Tl
0.000 0.000 16.525 N
0.000 0.000 1.778 N
```

Output
offset from the most stable computed form: 1087 meV/atom
crystal system: trigonal
symmetry: R-3m (166)

The following is a DFT calculation (PBE-GGA) of crystalline TlCrN2 at its relaxed geometry.

Structure (POSCAR):
```
TlCrN2
1.0
-4.443 2.822 2.050
-2.246 -4.855 1.814
-1.402 -0.572 5.528
Cr Tl N
2 2 4
Cartesian
-3.345 -1.016 1.932 Cr
-3.497 -3.221 4.637 Cr
0.000 0.000 0.000 Tl
-4.595 0.617 4.755 Tl
-2.496 0.435 2.469 N
-3.222 -2.245 3.193 N
-4.021 -2.187 5.967 N
-6.444 -1.211 7.155 N
```

Output
offset from the most stable computed form: 0 meV/atom
crystal system: tetragonal
symmetry: I-42d (122)

The following is a DFT calculation (PBE-GGA) of crystalline Tl3CrN at its relaxed geometry.

Structure (POSCAR):
```
Tl3CrN
1.0
-0.248 -2.771 -4.546
1.259 -4.453 2.645
-5.173 -0.951 0.861
Cr Tl N
1 3 1
Cartesian
0.000 0.000 0.000 Cr
0.629 -2.226 1.323 Tl
-2.587 -0.475 0.431 Tl
-0.124 -1.385 -2.273 Tl
-2.081 -4.087 -0.520 N
```

Output
offset from the most stable computed form: 0 meV/atom
crystal system: cubic
symmetry: Pm-3m (221)

The following is a DFT calculation (PBE-GGA) of crystalline TlCrN at its relaxed geometry.

Structure (POSCAR):
```
TlCrN
1.0
3.659 0.000 0.000
0.000 3.659 0.000
0.000 0.000 8.202
Cr Tl N
2 2 2
Cartesian
0.000 0.000 4.101 Cr
1.829 1.829 4.101 Cr
0.000 1.829 6.959 Tl
1.829 0.000 1.243 Tl
0.000 1.829 3.494 N
1.829 0.000 4.707 N
```

Output
crystal system: tetragonal
symmetry: P4/nmm (129)

The following is a DFT calculation (PBE-GGA) of crystalline TlZn2CrN at its relaxed geometry.

Structure (POSCAR):
```
TlZn2CrN
1.0
5.010 0.000 0.000
0.000 5.423 0.000
0.000 0.000 5.010
Cr Tl Zn N
1 1 2 1
Cartesian
0.000 0.000 0.000 Cr
0.000 2.711 0.000 Tl
0.000 0.000 2.505 Zn
2.505 0.000 0.000 Zn
2.505 2.711 2.505 N
```

Output
crystal system: tetragonal
symmetry: P4/mmm (123)

The following is a DFT calculation (PBE-GGA) of crystalline TlZnCr2N at its relaxed geometry.

Structure (POSCAR):
```
TlZnCr2N
1.0
-4.787 -2.322 0.664
1.370 -1.792 3.610
-1.689 4.273 2.762
Cr Tl Zn N
2 1 1 1
Cartesian
-0.845 2.137 1.381 Cr
-2.393 -1.161 0.332 Cr
0.000 0.000 0.000 Tl
-2.553 0.080 3.518 Zn
0.685 -0.896 1.805 N
```

Output
crystal system: tetragonal
symmetry: P4/mmm (123)

The following is a DFT calculation (PBE-GGA) of crystalline Tm3Cr5N12 at its relaxed geometry.

Structure (POSCAR):
```
Tm3Cr5N12
1.0
10.545 0.000 0.000
-3.515 9.942 0.000
-3.515 -4.971 8.610
Tm Cr N
12 20 48
Cartesian
6.151 3.107 1.076 Tm
6.151 6.835 1.076 Tm
-0.879 4.350 5.381 Tm
0.879 -0.621 3.229 Tm
7.909 0.000 2.153 Tm
0.879 4.971 2.153 Tm
2.636 0.000 6.458 Tm
-4.394 4.971 6.458 Tm
2.636 5.592 5.381 Tm
4.394 0.621 3.229 Tm
-2.636 -1.864 7.534 Tm
-2.636 1.864 7.534 Tm
-0.879 2.486 2.153 Cr
-1.758 4.971 0.000 Cr
0.000 0.000 0.000 Cr
2.636 1.864 1.076 Cr
3.515 -2.486 4.305 Cr
3.515 4.971 0.000 Cr
-2.636 5.592 3.229 Cr
4.394 -3.107 7.534 Cr
4.394 4.350 3.229 Cr
0.879 -2.486 6.458 Cr
2.636 7.457 2.153 Cr
1.758 2.486 4.305 Cr
5.273 0.000 0.000 Cr
-1.758 -2.486 4.305 Cr
-0.879 0.621 5.381 Cr
-0.879 8.078 1.076 Cr
-3.515 2.486 4.305 Cr
6.151 -0.621 5.381 Cr
0.879 3.107 7.534 Cr
4.394 2.486 6.458 Cr
6.929 1.065 0.129 N
0.101 3.129 3.447 N
7.979 2.342 2.581 N
4.324 1.422 0.986 N
1.306 3.555 5.900 N
7.628 5.040 1.595 N
-0.949 5.891 3.567 N
-2.566 8.520 0.986 N
0.452 6.387 5.900 N
4.674 4.902 1.595 N
5.374 2.906 3.319 N
5.374 8.877 0.129 N
-3.063 4.402 4.434 N
2.356 3.555 0.738 N
-3.616 7.036 3.319 N
1.859 -1.842 5.163 N
-0.452 0.847 1.724 N
2.356 6.318 0.858 N
4.324 7.600 2.581 N
-0.598 3.624 0.858 N
-2.209 5.818 6.886 N
2.706 4.051 3.567 N
4.821 5.540 4.434 N
4.113 -1.416 7.872 N
0.809 0.920 5.043 N
-1.306 -0.569 4.176 N
-0.598 6.387 0.738 N
-0.809 -2.629 6.029 N
5.724 -0.847 1.724 N
4.113 1.347 7.752 N
1.159 -1.347 7.752 N
1.657 6.813 3.447 N
3.967 4.124 6.886 N
7.131 -2.065 5.291 N
6.578 0.569 4.176 N
-1.859 -3.906 8.481 N
1.159 1.416 7.872 N
3.063 -1.416 2.710 N
-1.159 0.069 7.015 N
-1.859 2.065 5.291 N
6.081 -3.549 7.624 N
4.464 -0.920 5.043 N
-0.809 3.549 7.624 N
-4.113 -0.069 7.015 N
2.209 1.416 2.710 N
-4.464 2.629 6.029 N
3.414 1.842 5.163 N
-3.414 3.906 8.481 N
```

Output
crystal system: cubic
symmetry: Ia-3d (230)

no.,ΔE_f (raw) (meV per atom),total magnetization (μB per formula unit)
1,1745,0.000
2,1412,0.116
3,1491,0.240
4,1334,2.911
5,313,1.190
6,1018,2.475
7,-69,0.000
8,1310,5.826
9,-84,1.606
10,1555,2.110
11,1817,9.692
12,-659,3.001